No. 1
The following is a PBE calculation of Sn3Mo2W4N3 after structural relaxation, from OQMD.

Unit cell a=9.8596 b=5.6365 c=13.4221 alpha=90.00 beta=104.32 gamma=90.00
Closest atoms and distances in Å follow each position.
Space group C2/c (No. 15)
Inequivalent atoms, fractional coordinates:
Sn (0.0000, 0.0779, 0.2500)  2 Mo 2.93, 4 W 2.95-2.96, 4 Sn 3.25-3.27
Sn (0.1685, 0.4184, 0.7507)  2 Mo 2.88-2.92, 4 W 2.92-2.95
Mo (0.0518, 0.4204, 0.4193)  3 N 2.16-2.21
W (0.1081, 0.0943, 0.5760)  3 N 2.11-2.15
W (0.2286, 0.0797, 0.9241)  3 N 2.10-2.16
N (0.0853, 0.2452, 0.0009)  4 W 2.11-2.16, 2 Mo 2.16
N (0.2500, 0.2500, 0.5000)  4 W 2.10-2.11, 2 Mo 2.21

Computed properties:
Energy   -8.97 eV/atom
Crystal system   monoclinic


No. 2
The following is a PBE calculation of Y2Sn3Mo4N3 after structural relaxation, from OQMD.

Unit cell a=9.9746 b=5.7986 c=13.9684 alpha=90.00 beta=103.59 gamma=90.00
Closest atoms and distances in Å follow each position.
Space group C2/c (No. 15)
Inequivalent atoms, fractional coordinates:
Y (0.0516, 0.0845, 0.3980)  3 N 2.35-2.39
Sn (0.0000, 0.4886, 0.2500)  4 Mo 2.97, 4 Sn 3.02-3.03, 2 Y 3.09
Sn (0.2034, 0.1233, 0.7487)  4 Mo 2.98-3.00, 4 Sn 3.02-3.04, 2 Y 3.09-3.11
Mo (0.1071, 0.4258, 0.5722)  3 N 2.12-2.18
Mo (0.2216, 0.4117, 0.9280)  3 N 2.11-2.19
N (0.0829, 0.2500, 0.0002)  4 Mo 2.11-2.18
N (0.2500, 0.2500, 0.5000)  4 Mo 2.18-2.19, 2 Y 2.35

Computed properties:
Energy   -8.22 eV/atom
Crystal system   monoclinic


No. 3
The following is a PBE calculation of Zr4Sn3Mo2N3 after structural relaxation, from OQMD.

Unit cell a=10.0194 b=5.7560 c=14.1940 alpha=90.00 beta=103.45 gamma=90.00
Closest atoms and distances in Å follow each position.
Space group C2/c (No. 15)
Inequivalent atoms, fractional coordinates:
Zr (0.1121, 0.0944, 0.0853)  3 N 2.23-2.26
Zr (0.2263, 0.0766, 0.4145)  3 N 2.22-2.26
Sn (0.0000, 0.1048, 0.7500)  2 Mo 3.01, 4 Zr 3.04, 2 Sn 3.10
Sn (0.1549, 0.4292, 0.2517)  2 Mo 2.94-2.99, 4 Zr 3.00-3.03, 2 Sn 3.09-3.10
Mo (0.0491, 0.4243, 0.9226)  3 N 2.20-2.29
N (0.0868, 0.2416, 0.5000)  2 Mo 2.20-2.21, 4 Zr 2.24-2.26
N (0.2500, 0.2500, 0.0000)  4 Zr 2.22-2.23, 2 Mo 2.29

Computed properties:
Energy   -8.48 eV/atom
Crystal system   monoclinic


No. 4
The following is a PBE calculation of Sr3MoN4 after structural relaxation, from OQMD.

Unit cell a=17.8132 b=10.2880 c=9.8868 alpha=90.00 beta=97.99 gamma=90.00
Closest atoms and distances in Å follow each position.
Space group C2/c (No. 15)
Inequivalent atoms, fractional coordinates:
Sr (0.0000, 0.0117, 0.2500)  4 N 2.59-2.63
Sr (0.0232, 0.3388, 0.5875)  4 N 2.51-2.77
Sr (0.1533, 0.2342, 0.0999)  6 N 2.61-2.74
Sr (0.1777, 0.1271, 0.4549)  4 N 2.47-2.66
Sr (0.1851, 0.4657, 0.7995)  4 N 2.61-2.76
Mo (0.0000, 0.3340, 0.2500)  4 N 1.87-1.90
Mo (0.1757, 0.1483, 0.7880)  4 N 1.86-1.89
N (0.0511, 0.2202, 0.3782)  1 Mo 1.87
N (0.0654, 0.4336, 0.1551)  1 Mo 1.90
N (0.0964, 0.2534, 0.8369)  1 Mo 1.89
N (0.1392, 0.0016, 0.6899)  1 Mo 1.86
N (0.2345, 0.2497, 0.6827)  1 Mo 1.89
N (0.2407, 0.0945, 0.9441)  1 Mo 1.88

Computed properties:
Energy   -7.07 eV/atom
Crystal system   monoclinic


No. 5
The following is a PBE calculation of Sr3MoN4 after structural relaxation, from OQMD.

Unit cell a=9.7101 b=11.5170 c=10.4952 alpha=90.00 beta=90.00 gamma=90.00
Closest atoms and distances in Å follow each position.
Space group Pbca (No. 61)
Inequivalent atoms, fractional coordinates:
Sr (0.0261, 0.1030, 0.1260)  5 N 2.50-2.75
Sr (0.1344, 0.6462, 0.0263)  5 N 2.57-2.83
Sr (0.1931, 0.1156, 0.7122)  4 N 2.59-2.85
Mo (0.1901, 0.1120, 0.3992)  4 N 1.87-1.89
N (0.0567, 0.0051, 0.3413)  1 Mo 1.89
N (0.1106, 0.2249, 0.5039)  1 Mo 1.87
N (0.1868, 0.5301, 0.5049)  1 Mo 1.88
N (0.2136, 0.6791, 0.2622)  1 Mo 1.88

Computed properties:
Energy   -7.07 eV/atom
Crystal system   orthorhombic


No. 6
The following is a PBE calculation of Tb3Ta3Mo2N12 after structural relaxation, from OQMD.

Unit cell a=12.8078 b=12.8078 c=12.8078 alpha=90.00 beta=90.00 gamma=90.00
Closest atoms and distances in Å follow each position.
Space group Ia-3d (No. 230)
Inequivalent atoms, fractional coordinates:
Tb (0.0000, 0.2500, 0.1250)  8 N 2.48-2.55
Ta (0.0000, 0.2500, 0.3750)  4 N 1.93
Mo (0.0000, 0.0000, 0.0000)  6 N 2.04
N (0.0298, 0.0542, 0.6465)  1 Ta 1.93, 1 Mo 2.04

Computed properties:
Energy   -9.44 eV/atom
Crystal system   cubic


No. 7
The following is a PBE calculation of Ta4Tl3Mo2N3 after structural relaxation, from OQMD.

Unit cell a=9.7447 b=5.5613 c=14.3528 alpha=90.00 beta=102.54 gamma=90.00
Closest atoms and distances in Å follow each position.
Space group C2/c (No. 15)
Inequivalent atoms, fractional coordinates:
Ta (0.1098, 0.1083, 0.0782)  3 N 2.10-2.20
Ta (0.2365, 0.0704, 0.4218)  3 N 2.10-2.21
Tl (0.0000, 0.0854, 0.7500)  2 Mo 3.07, 4 Ta 3.09-3.11, 6 Tl 3.19-3.27
Tl (0.1665, 0.4186, 0.2552)  2 Mo 3.01, 4 Ta 3.02-3.05, 6 Tl 3.19-3.27
Mo (0.0437, 0.4280, 0.9212)  3 N 2.18-2.30
N (0.0883, 0.2338, 0.5000)  4 Ta 2.13-2.21, 2 Mo 2.18-2.19
N (0.2500, 0.2500, 0.0000)  4 Ta 2.10, 2 Mo 2.30

Computed properties:
Energy   -8.57 eV/atom
Crystal system   monoclinic


No. 8
The following is a PBE calculation of Ta2Zn3Mo4N3 after structural relaxation, from OQMD.

Unit cell a=8.7677 b=5.0914 c=14.3220 alpha=90.00 beta=101.44 gamma=90.00
Closest atoms and distances in Å follow each position.
Space group C2/c (No. 15)
Inequivalent atoms, fractional coordinates:
Ta (0.0471, 0.0824, 0.3894)  3 N 2.18-2.30
Zn (0.0000, 0.4350, 0.7500)  4 Zn 2.54, 4 Mo 2.70
Zn (0.2405, 0.1597, 0.7479)  4 Zn 2.54-2.55, 4 Mo 2.71-2.73
Mo (0.1124, 0.4291, 0.5876)  3 N 2.11-2.18
Mo (0.2161, 0.4128, 0.9125)  3 N 2.11-2.18
N (0.0724, 0.2183, 0.9999)  4 Mo 2.13-2.18, 2 Ta 2.18
N (0.2500, 0.2500, 0.5000)  4 Mo 2.11, 2 Ta 2.30

Computed properties:
Energy   -8.21 eV/atom
Crystal system   monoclinic


No. 9
The following is a PBE calculation of Zr3Ta3Mo2N12 after structural relaxation, from OQMD.

Unit cell a=12.5092 b=12.5092 c=12.5092 alpha=90.00 beta=90.00 gamma=90.00
Closest atoms and distances in Å follow each position.
Space group Ia-3d (No. 230)
Inequivalent atoms, fractional coordinates:
Zr (0.0000, 0.2500, 0.1250)  8 N 2.37-2.40
Ta (0.0000, 0.2500, 0.3750)  4 N 1.93
Mo (0.0000, 0.0000, 0.0000)  6 N 2.08
N (0.0264, 0.0644, 0.6508)  1 Ta 1.93, 1 Mo 2.08

Computed properties:
Energy   -9.90 eV/atom
Crystal system   cubic


It is found that the theoretical density values, taken in the order of the records, are 12.2; 8.1; 8.0; 4.6; 4.7; 8.7; 13.7; 10.4; 8.0 g/cm3.